[1]
! ScTc2HgSe | Alexandria via LeMat-Bulk | PBE | optimized geometry; values from VASP
! * E_form (uncorrected): 1.540 eV per atom
&SYSTEM
  ibrav = 0, nat = 5, ntyp = 4
/
ATOMIC_SPECIES
Sc 44.96 Sc.upf
Tc 98.00 Tc.upf
Hg 200.59 Hg.upf
Se 78.96 Se.upf
ATOMIC_POSITIONS crystal
Sc 0.000 0.000 0.000
Tc 0.000 0.500 0.000
Tc 0.500 0.000 0.000
Hg 0.000 0.000 0.500
Se 0.500 0.500 0.500
CELL_PARAMETERS angstrom
4.794 0.000 0.000
0.000 4.794 0.000
0.000 0.000 5.249


[2]
! Sr2RePbO6 | Alexandria via LeMat-Bulk | PBE | optimized geometry; values from VASP
! * E_form (uncorrected): -2.037 eV per atom
&SYSTEM
  ibrav = 0, nat = 10, ntyp = 4
/
ATOMIC_SPECIES
Sr 87.62 Sr.upf
Re 186.21 Re.upf
Pb 207.20 Pb.upf
O 16.00 O.upf
ATOMIC_POSITIONS crystal
Sr 0.000 0.000 0.000
Sr 0.491 0.491 0.491
Re 0.704 0.704 0.704
Pb 0.229 0.229 0.229
O 0.018 0.478 0.797
O 0.377 0.896 0.594
O 0.478 0.797 0.018
O 0.594 0.377 0.896
O 0.797 0.018 0.478
O 0.896 0.593 0.377
CELL_PARAMETERS angstrom
3.002 1.733 5.248
-3.002 1.733 5.248
0.000 -3.466 5.248


[3]
! TlTe2N2 | Alexandria via LeMat-Bulk | PBE | optimized geometry; values from VASP
! * E_form (uncorrected): 1.477 eV per atom
! * excess energy over the best structure of this formula in the dataset: 200.2 meV per atom
&SYSTEM
  ibrav = 0, nat = 5, ntyp = 3
/
ATOMIC_SPECIES
Tl 204.38 Tl.upf
Te 127.60 Te.upf
N 14.01 N.upf
ATOMIC_POSITIONS crystal
Tl 0.000 0.000 0.000
Te 0.000 0.500 0.500
Te 0.500 0.000 0.500
N 0.500 0.500 0.000
N 0.500 0.500 0.500
CELL_PARAMETERS angstrom
4.787 0.000 0.000
0.000 4.787 0.000
0.000 0.000 4.428


[4]
! AlTc | Alexandria via LeMat-Bulk | PBE | optimized geometry; values from VASP
! * formation enthalpy at 0 K: -0.226 eV per atom
! * excess energy over the best structure of this formula in the dataset: 186.4 meV per atom
&SYSTEM
  ibrav = 0, nat = 8, ntyp = 2
/
ATOMIC_SPECIES
Al 26.98 Al.upf
Tc 98.00 Tc.upf
ATOMIC_POSITIONS crystal
Al 0.100 0.400 0.600
Al 0.400 0.600 0.100
Al 0.600 0.100 0.400
Al 0.900 0.900 0.900
Tc 0.109 0.891 0.391
Tc 0.391 0.109 0.891
Tc 0.609 0.609 0.609
Tc 0.891 0.391 0.109
CELL_PARAMETERS angstrom
4.898 0.000 0.000
0.000 4.898 0.000
0.000 0.000 4.898


[5]
! Tb3PmIn3 | Alexandria via LeMat-Bulk | PBE | optimized geometry; values from VASP
! * formation enthalpy at 0 K: -0.358 eV per atom
! * excess energy over the best structure of this formula in the dataset: 0.0 meV per atom
&SYSTEM
  ibrav = 0, nat = 14, ntyp = 3
/
ATOMIC_SPECIES
Tb 158.93 Tb.upf
Pm 145.00 Pm.upf
In 114.82 In.upf
ATOMIC_POSITIONS crystal
Tb 0.000 0.233 0.250
Tb 0.000 0.767 0.750
Tb 0.233 0.234 0.750
Tb 0.234 0.000 0.250
Tb 0.766 0.000 0.750
Tb 0.767 0.766 0.250
Pm 0.333 0.667 0.250
Pm 0.667 0.333 0.750
In 0.069 0.453 0.750
In 0.384 0.931 0.750
In 0.453 0.384 0.250
In 0.547 0.616 0.750
In 0.616 0.069 0.250
In 0.931 0.547 0.250
CELL_PARAMETERS angstrom
9.471 0.000 0.000
-4.736 8.202 0.000
0.000 0.000 5.172


[6]
! HoMgGa2Ni5 | Alexandria via LeMat-Bulk | PBE | optimized geometry; values from VASP
! * formation enthalpy at 0 K: -0.251 eV per atom
&SYSTEM
  ibrav = 0, nat = 9, ntyp = 4
/
ATOMIC_SPECIES
Ho 164.93 Ho.upf
Mg 24.30 Mg.upf
Ga 69.72 Ga.upf
Ni 58.69 Ni.upf
ATOMIC_POSITIONS crystal
Ho 0.000 0.000 0.000
Mg 0.000 0.000 0.500
Ga 0.500 0.500 0.362
Ga 0.500 0.500 0.638
Ni 0.000 0.500 0.215
Ni 0.000 0.500 0.785
Ni 0.500 0.000 0.215
Ni 0.500 0.000 0.785
Ni 0.500 0.500 0.000
CELL_PARAMETERS angstrom
3.873 0.000 0.000
0.000 3.873 0.000
0.000 0.000 8.946